[1]
This record from Alexandria describes a relaxed structure of Ta2MoC. The functional is PBE.

Structure (POSCAR):
```
Ta2MoC
1.0
4.657 0.004 0.002
3.753 2.757 0.002
2.051 0.673 4.572
Mo C Ta
1 1 2
Direct
0.167 0.167 0.281 Mo
0.535 0.535 0.613 C
0.989 0.989 0.968 Ta
0.809 0.809 0.638 Ta
```

Computed properties:
**SG**: Cm (8)


[2]
This record from Alexandria describes a relaxed structure of TaMoC. The functional is PBE.

Structure (POSCAR):
```
TaMoC
1.0
-1.025 4.009 -3.406
-4.033 3.404 -0.935
3.316 -2.425 3.442
Mo C Ta
1 1 1
Direct
0.374 0.374 0.000 Mo
0.990 0.990 0.000 C
0.636 0.636 0.000 Ta
```

Computed properties:
**SG**: I4mm (107)
**Relative energy among the computed polymorphs**: 649.3 meV/atom


[3]
This record from Alexandria describes a relaxed structure of Ta4MoC4. The functional is PBE.

Structure (POSCAR):
```
Ta4MoC4
1.0
4.144 0.000 1.661
2.036 4.932 0.921
0.238 -0.093 5.406
Ta Mo C
4 1 4
Direct
0.607 0.586 0.199 Ta
0.393 0.414 0.801 Ta
0.193 0.199 0.414 Ta
0.807 0.801 0.586 Ta
0.000 0.000 0.000 Mo
0.901 0.399 0.799 C
0.099 0.601 0.201 C
0.300 0.799 0.601 C
0.700 0.201 0.399 C
```

Computed properties:
**SG**: I4/m (87)


[4]
This record from Alexandria describes a relaxed structure of Ta2MoC. The functional is PBE.

Structure (POSCAR):
```
Ta2MoC
1.0
-2.464 -1.617 0.398
2.720 -3.926 0.884
1.463 -1.125 4.493
Mo C Ta
1 1 2
Direct
0.500 0.750 0.750 Mo
0.500 0.250 0.250 C
0.000 0.074 0.074 Ta
0.000 0.426 0.426 Ta
```

Computed properties:
**SG**: Cmmm (65)


[5]
This record from Alexandria describes a relaxed structure of TaMo2C. The functional is PBE.

Structure (POSCAR):
```
TaMo2C
1.0
3.050 0.000 0.000
0.000 3.191 -0.001
0.000 1.590 5.682
Mo C Ta
2 1 1
Direct
0.000 0.818 0.991 Mo
0.500 0.181 0.261 Mo
0.500 0.976 0.673 C
0.000 0.525 0.575 Ta
```

Computed properties:
**SG**: Amm2 (38)


[6]
This record from Alexandria describes a relaxed structure of TaMo2C. The functional is PBE.

Structure (POSCAR):
```
TaMo2C
1.0
-0.221 4.370 -1.138
-2.795 3.082 -1.769
-2.246 2.859 3.329
Mo C Ta
2 1 1
Direct
0.077 0.077 0.979 Mo
0.260 0.260 0.281 Mo
0.720 0.720 0.631 C
0.443 0.443 0.610 Ta
```

Computed properties:
**SG**: Cm (8)


[7]
This record from Alexandria describes a relaxed structure of TaMoC. The functional is PBE.

Structure (POSCAR):
```
TaMoC
1.0
3.034 -0.001 0.057
0.000 4.425 0.040
0.394 -0.055 5.985
Ta Mo C
2 2 2
Direct
0.195 0.250 0.378 Ta
0.805 0.750 0.622 Ta
0.273 0.250 0.876 Mo
0.727 0.750 0.124 Mo
0.738 0.250 0.122 C
0.262 0.750 0.878 C
```

Computed properties:
**SG**: P2_1/m (11)
**Relative energy among the computed polymorphs**: 217.1 meV/atom


[8]
This record from Alexandria describes a relaxed structure of TaMo2C. The functional is PBE.

Structure (POSCAR):
```
TaMo2C
1.0
4.312 0.000 0.000
2.156 3.734 0.000
2.156 1.245 3.521
Mo C Ta
2 1 1
Direct
0.000 0.000 0.000 Mo
0.250 0.250 0.250 Mo
0.500 0.500 0.500 C
0.750 0.750 0.750 Ta
```

Computed properties:
**SG**: F-43m (216)


In eV per formula unit, the E_form values for the records above are, in order, 0.2, 0.8, -4.9, -0.3, -0.2, 0.3, -0.5, 4.5.